Computed, not measured: Ho6SiO12 after structural relaxation at the PBE level of DFT.

Lattice parameters (Å, degrees): 9.6595 9.6595 9.1709 90.00 90.00 120.00
Space group R-3 (No. 148, hexagonal axes)
Symmetry-distinct sites (fractional):
Ho (0.0515, 0.7908, 0.1524) (multiplicity 18)
Si (0.0000, 0.0000, 0.5000) (multiplicity 3)
O (0.0375, 0.8116, 0.9032) (multiplicity 18)
O (0.0401, 0.8622, 0.3933) (multiplicity 18)

---

Computed, not measured: HoSiO2 after structural relaxation at the PBE level of DFT.

Lattice parameters (Å, degrees): 2.9420 2.9420 21.0248 90.00 90.00 120.00
Space group R-3m (No. 166, hexagonal axes)
Symmetry-distinct sites (fractional):
Ho (0.0000, 0.0000, 0.0000) (multiplicity 3)
Si (0.0000, 0.0000, 0.5000) (multiplicity 3)
O (0.0000, 0.0000, 0.1249) (multiplicity 6)

---

Computed, not measured: HoThSi2O8 after structural relaxation at the PBE level of DFT.

Lattice parameters (Å, degrees): 7.076 7.076 6.321 90.00 90.00 90.00
Space group I-4m2 (No. 119)
Symmetry-distinct sites (fractional):
Ho (0.000, 0.000, 0.000) (multiplicity 2)
Th (0.000, 0.500, 0.250) (multiplicity 2)
Si (0.000, 0.000, 0.500) (multiplicity 2)
Si (0.000, 0.500, 0.750) (multiplicity 2)
O (0.000, 0.176, 0.330) (multiplicity 8)
O (0.000, 0.320, 0.915) (multiplicity 8)

---

Computed, not measured: HoTl2Si2O6 after structural relaxation at the PBE level of DFT.

Lattice parameters (Å, degrees): 5.9222 5.9222 17.7571 90.00 90.00 120.00
Space group R-3m (No. 166, hexagonal axes)
Symmetry-distinct sites (fractional):
Ho (0.0000, 0.0000, 0.0000) (multiplicity 3)
Tl (0.0000, 0.0000, 0.2168) (multiplicity 6)
Si (0.0000, 0.0000, 0.4259) (multiplicity 6)
O (0.0245, 0.5123, 0.2591) (multiplicity 18)

---

Computed, not measured: HoTlSiO4 after structural relaxation at the PBE level of DFT.

Lattice parameters (Å, degrees): 5.697 5.671 7.784 90.00 106.54 90.00
Space group P2_1/m (No. 11)
Symmetry-distinct sites (fractional):
Ho (0.214, 0.250, 0.052) (multiplicity 2)
Tl (0.319, 0.250, 0.603) (multiplicity 2)
Si (0.255, 0.750, 0.855) (multiplicity 2)
O (0.065, 0.524, 0.839) (multiplicity 4)
O (0.431, 0.750, 0.721) (multiplicity 2)
O (0.449, 0.750, 0.059) (multiplicity 2)

---

Computed, not measured: HoTlSi2O6 after structural relaxation at the PBE level of DFT.

Lattice parameters (Å, degrees): 10.380 9.969 5.505 90.00 102.17 90.00
Space group C2/c (No. 15)
Symmetry-distinct sites (fractional):
Ho (0.000, 0.117, 0.250) (multiplicity 4)
Tl (0.000, 0.316, 0.750) (multiplicity 4)
Si (0.219, 0.420, 0.299) (multiplicity 8)
O (0.120, 0.062, 0.632) (multiplicity 8)
O (0.152, 0.273, 0.250) (multiplicity 8)
O (0.165, 0.492, 0.535) (multiplicity 8)

---

Computed, not measured: Sm3HoO after structural relaxation at the PBE level of DFT.

Lattice parameters (Å, degrees): 5.028 5.028 5.028 90.00 90.00 90.00
Space group Pm-3m (No. 221)
Symmetry-distinct sites (fractional):
Sm (0.000, 0.000, 0.500) (multiplicity 3)
Ho (0.500, 0.500, 0.500) (multiplicity 1)
O (0.000, 0.000, 0.000) (multiplicity 1)

---

Computed, not measured: SmHo2O after structural relaxation at the PBE level of DFT.

Computed properties:
Relative energy among the computed polymorphs ... 0.5513 eV per atom

Lattice parameters (Å, degrees): 3.189 3.189 8.746 90.00 90.00 90.00
Space group P4/mmm (No. 123)
Symmetry-distinct sites (fractional):
Sm (0.000, 0.000, 0.000) (multiplicity 1)
Ho (0.500, 0.500, 0.324) (multiplicity 2)
O (0.000, 0.000, 0.500) (multiplicity 1)

---

Computed, not measured: SmHoO2 after structural relaxation at the PBE level of DFT.

Computed properties:
Relative energy among the computed polymorphs ... 0.0000 eV per atom

Lattice parameters (Å, degrees): 3.5900 3.5900 19.9392 90.00 90.00 120.00
Space group R-3m (No. 166, hexagonal axes)
Symmetry-distinct sites (fractional):
Sm (0.0000, 0.0000, 0.0000) (multiplicity 3)
Ho (0.0000, 0.0000, 0.5000) (multiplicity 3)
O (0.0000, 0.0000, 0.1143) (multiplicity 6)

---

Computed, not measured: SmHoO after structural relaxation at the PBE level of DFT.

Computed properties:
Relative energy among the computed polymorphs ... 0.0000 eV per atom

Lattice parameters (Å, degrees): 4.648 5.038 10.679 90.00 90.00 90.00
Space group Imma (No. 74)
Symmetry-distinct sites (fractional):
Sm (0.000, 0.250, 0.107) (multiplicity 4)
Ho (0.000, 0.250, 0.638) (multiplicity 4)
O (0.000, 0.250, 0.866) (multiplicity 4)

---

Computed, not measured: Sm3HoO6 after structural relaxation at the PBE level of DFT.

Lattice parameters (Å, degrees): 9.8673 9.8673 11.5382 90.00 90.00 120.00
Space group R-3 (No. 148, hexagonal axes)
Symmetry-distinct sites (fractional):
Sm (0.0390, 0.7730, 0.2093) (multiplicity 18)
Ho (0.0000, 0.0000, 0.0000) (multiplicity 3)
Ho (0.0000, 0.0000, 0.5000) (multiplicity 3)
O (0.0277, 0.8125, 0.4043) (multiplicity 18)
O (0.0278, 0.8418, 0.8739) (multiplicity 18)

---

Computed, not measured: SmHoO after structural relaxation at the PBE level of DFT.

Computed properties:
Relative energy among the computed polymorphs ... 0.1118 eV per atom

Lattice parameters (Å, degrees): 3.5495 3.5495 5.8828 90.00 90.00 120.00
Space group P3m1 (No. 156)
Symmetry-distinct sites (fractional):
Sm (0.0000, 0.0000, 0.0000) (multiplicity 1)
Ho (0.3333, 0.6667, 0.4664) (multiplicity 1)
O (0.6667, 0.3333, 0.2596) (multiplicity 1)

---

Computed, not measured: Sm2HoO after structural relaxation at the PBE level of DFT.

Computed properties:
Relative energy among the computed polymorphs ... 0.3261 eV per atom

Lattice parameters (Å, degrees): 3.231 3.231 8.915 90.00 90.00 90.00
Space group P4/mmm (No. 123)
Symmetry-distinct sites (fractional):
Sm (0.000, 0.000, 0.173) (multiplicity 2)
Ho (0.500, 0.500, 0.500) (multiplicity 1)
O (0.500, 0.500, 0.000) (multiplicity 1)

---

Computed, not measured: Sm2HoO after structural relaxation at the PBE level of DFT.

Computed properties:
Relative energy among the computed polymorphs ... 0.0000 eV per atom

Lattice parameters (Å, degrees): 3.5814 3.5814 27.7687 90.00 90.00 120.00
Space group R-3m (No. 166, hexagonal axes)
Symmetry-distinct sites (fractional):
Sm (0.0000, 0.0000, 0.1187) (multiplicity 6)
Ho (0.0000, 0.0000, 0.0000) (multiplicity 3)
O (0.0000, 0.0000, 0.5000) (multiplicity 3)

---

Computed, not measured: SmHo2O after structural relaxation at the PBE level of DFT.

Computed properties:
Relative energy among the computed polymorphs ... 0.0000 eV per atom

Lattice parameters (Å, degrees): 3.4996 3.4996 26.2787 90.00 90.00 120.00
Space group R-3m (No. 166, hexagonal axes)
Symmetry-distinct sites (fractional):
Sm (0.0000, 0.0000, 0.0000) (multiplicity 3)
Ho (0.0000, 0.0000, 0.2187) (multiplicity 6)
O (0.0000, 0.0000, 0.5000) (multiplicity 3)

---

Computed, not measured: SmHoO2 after structural relaxation at the PBE level of DFT.

Computed properties:
Relative energy among the computed polymorphs ... 0.1535 eV per atom

Lattice parameters (Å, degrees): 3.4221 3.4221 17.8358 90.00 90.00 120.00
Space group R3m (No. 160, hexagonal axes)
Symmetry-distinct sites (fractional):
Sm (0.0000, 0.0000, 0.0000) (multiplicity 3)
Ho (0.0000, 0.0000, 0.1776) (multiplicity 3)
O (0.0000, 0.0000, 0.5764) (multiplicity 3)
O (0.0000, 0.0000, 0.7668) (multiplicity 3)

---

Computed, not measured: Sm2HoO4 after structural relaxation at the PBE level of DFT.

Lattice parameters (Å, degrees): 11.840 3.499 6.034 90.00 117.74 90.00
Space group C2/m (No. 12)
Symmetry-distinct sites (fractional):
Sm (0.196, 0.000, 0.197) (multiplicity 4)
Ho (0.000, 0.500, 0.500) (multiplicity 2)
O (0.129, 0.500, 0.917) (multiplicity 4)
O (0.141, 0.000, 0.522) (multiplicity 4)

---

Computed, not measured: SmHo2TcO8 after structural relaxation at the PBE level of DFT.

Lattice parameters (Å, degrees): 7.143 7.147 6.789 90.00 90.00 90.00
Space group Cmmm (No. 65)
Symmetry-distinct sites (fractional):
Sm (0.000, 0.000, 0.000) (multiplicity 2)
Ho (0.000, 0.500, 0.249) (multiplicity 4)
Tc (0.000, 0.000, 0.500) (multiplicity 2)
O (0.000, 0.184, 0.296) (multiplicity 8)
O (0.187, 0.500, 0.000) (multiplicity 4)
O (0.233, 0.500, 0.500) (multiplicity 4)

---

Computed, not measured: SmHoTe2O8 after structural relaxation at the PBE level of DFT.

Lattice parameters (Å, degrees): 7.426 7.426 6.884 90.00 90.00 90.00
Space group I-4m2 (No. 119)
Symmetry-distinct sites (fractional):
Sm (0.000, 0.000, 0.000) (multiplicity 2)
Ho (0.000, 0.500, 0.750) (multiplicity 2)
Te (0.000, 0.000, 0.500) (multiplicity 2)
Te (0.000, 0.500, 0.250) (multiplicity 2)
O (0.000, 0.189, 0.700) (multiplicity 8)
O (0.000, 0.318, 0.049) (multiplicity 8)

---

Computed, not measured: SmHoTeO2 after structural relaxation at the PBE level of DFT.

Lattice parameters (Å, degrees): 6.871 4.113 7.836 90.00 106.94 90.00
Space group P2_1/m (No. 11)
Symmetry-distinct sites (fractional):
Sm (0.175, 0.250, 0.424) (multiplicity 2)
Ho (0.158, 0.250, 0.912) (multiplicity 2)
Te (0.451, 0.750, 0.747) (multiplicity 2)
O (0.009, 0.750, 0.883) (multiplicity 2)
O (0.018, 0.750, 0.374) (multiplicity 2)

---

Computed, not measured: Sm12HoTl4O3 after structural relaxation at the PBE level of DFT.

Lattice parameters (Å, degrees): 10.215 10.215 10.215 90.00 90.00 90.00
Space group Im-3m (No. 229)
Symmetry-distinct sites (fractional):
Sm (0.000, 0.000, 0.275) (multiplicity 12)
Sm (0.000, 0.250, 0.500) (multiplicity 12)
Ho (0.000, 0.000, 0.000) (multiplicity 2)
Tl (0.250, 0.250, 0.250) (multiplicity 8)
O (0.000, 0.000, 0.500) (multiplicity 6)

---

Computed, not measured: Sm2HoTlO after structural relaxation at the PBE level of DFT.

Lattice parameters (Å, degrees): 4.933 4.933 4.735 90.00 90.00 90.00
Space group P4/mmm (No. 123)
Symmetry-distinct sites (fractional):
Sm (0.000, 0.500, 0.000) (multiplicity 2)
Ho (0.000, 0.000, 0.500) (multiplicity 1)
Tl (0.500, 0.500, 0.500) (multiplicity 1)
O (0.000, 0.000, 0.000) (multiplicity 1)

---

Computed, not measured: Sm2HoTmO6 after structural relaxation at the PBE level of DFT.

Lattice parameters (Å, degrees): 5.8709 5.8709 15.1754 90.00 90.00 120.00
Space group R3 (No. 146, hexagonal axes)
Symmetry-distinct sites (fractional):
Sm (0.0000, 0.0000, 0.0000) (multiplicity 3)
Sm (0.0000, 0.0000, 0.4994) (multiplicity 3)
Ho (0.0000, 0.0000, 0.2799) (multiplicity 3)
Tm (0.0000, 0.0000, 0.7810) (multiplicity 3)
O (0.0197, 0.7208, 0.8837) (multiplicity 9)
O (0.0227, 0.3034, 0.3844) (multiplicity 9)

---

Number 1: formation energy from raw total energies -3.180 eV/atom. Number 2: formation energy from raw total energies -1.281 eV/atom. Number 3: formation energy from raw total energies -3.087 eV/atom. Number 4: formation energy from raw total energies -2.206 eV/atom. Number 5: formation energy from raw total energies -2.625 eV/atom. Number 6: formation energy from raw total energies -2.693 eV/atom. Number 7: formation energy from raw total energies -1.104 eV/atom. Number 8: formation energy from raw total energies -0.804 eV/atom. Number 9: formation energy from raw total energies -2.869 eV/atom. Number 10: formation energy from raw total energies -1.877 eV/atom. Number 11: formation energy from raw total energies -3.482 eV/atom. Number 12: formation energy from raw total energies -1.765 eV/atom. Number 13: formation energy from raw total energies -0.819 eV/atom. Number 14: formation energy from raw total energies -1.145 eV/atom. Number 15: formation energy from raw total energies -1.355 eV/atom. Number 16: formation energy from raw total energies -2.715 eV/atom. Number 17: formation energy from raw total energies -3.142 eV/atom. Number 18: formation energy from raw total energies -2.622 eV/atom. Number 19: formation energy from raw total energies -1.938 eV/atom. Number 20: formation energy from raw total energies -2.949 eV/atom. Number 21: formation energy from raw total energies -0.735 eV/atom. Number 22: formation energy from raw total energies -1.353 eV/atom. Number 23: formation energy from raw total energies -3.496 eV/atom.